Entry 1:
A relaxed structure of Tb6Sm8Tm, computed with PBE-GGA.

calculated volume: 500.90 Å³ per cell
E: -67.4 eV for the cell shown

Cell lengths 6.5386, 9.4052, 9.4052 Å; angles 120.00, 90.00, 90.00 degrees
Atoms (fractional coordinates):
Tb (0.6610, 0.6536, 0.0907)
Tb (0.6610, 0.9093, 0.5629)
Tb (0.6610, 0.4370, 0.3464)
Tb (0.3390, 0.3464, 0.9093)
Tb (0.3390, 0.0907, 0.4370)
Tb (0.3390, 0.5629, 0.6536)
Sm (0.8329, 0.0336, 0.2825)
Sm (0.8329, 0.7175, 0.7511)
Sm (0.8329, 0.2489, 0.9664)
Sm (0.1671, 0.9664, 0.7175)
Sm (0.1671, 0.2825, 0.2489)
Sm (0.1671, 0.7511, 0.0336)
Sm (0.8791, 0.3333, 0.6667)
Sm (0.1209, 0.6667, 0.3333)
Tm (0.5000, 0.0000, 0.0000)

Entry 2:
A relaxed structure of LiSm3, computed with PBE-GGA.

calculated volume: 122.69 Å³ per cell
E: -15.4 eV for the cell shown

Cell lengths 4.9690, 4.9690, 4.9690 Å; angles 90.00, 90.00, 90.00 degrees
Atoms (fractional coordinates):
Li (0.0000, 0.0000, 0.0000)
Sm (0.0000, 0.5000, 0.5000)
Sm (0.5000, 0.0000, 0.5000)
Sm (0.5000, 0.5000, 0.0000)

Entry 3:
A relaxed structure of MgHg3Sb, computed with PBE-GGA.

raw formation energy: 1.53 eV/f.u.
calculated volume: 183.68 Å³ per cell

Cell lengths 5.6845, 5.6845, 5.6845 Å; angles 90.00, 90.00, 90.00 degrees
Atoms (fractional coordinates):
Sb (0.0000, 0.0000, 0.0000)
Mg (0.5000, 0.5000, 0.5000)
Hg (0.0000, 0.5000, 0.0000)
Hg (0.0000, 0.0000, 0.5000)
Hg (0.5000, 0.0000, 0.0000)